No. 1
A plane-wave DFT calculation with PBE was carried out for an optimized crystal structure of Sm3Pu2UN6.

The uncorrected formation energy is -1.4171 eV/atom. As for the total magnetization: 20.99 Bohr magnetons per cell. Its volume is 15.4 A^3/atom. The value obtained for the calculated total energy is -10.09 eV per atom. Its crystal system is monoclinic.

It has space group C2/m (No. 12), with a = 6.099 Å, b = 10.554 Å, c = 6.093 Å, α = 90.00°, β = 109.50° and γ = 90.00°. Symmetry generates all atoms from Sm at (0.000, 0.000, 0.000), Sm at (0.000, 0.331, 0.000), Pu at (0.000, 0.166, 0.500), U at (0.000, 0.500, 0.500), N at (0.234, 0.341, 0.725) and N at (0.243, 0.500, 0.275).

No. 2
A plane-wave DFT calculation with PBE was carried out for an optimized crystal structure of SmPu2UN4.

The uncorrected formation energy is -1.3218 eV/atom. As for the total magnetization: 22.93 Bohr magnetons per cell. Its volume is 15.2 A^3/atom. The value obtained for the calculated total energy is -11.07 eV per atom. Its crystal system is tetragonal.

It has space group I-4m2 (No. 119), with a = 4.961 Å, b = 4.961 Å, c = 9.864 Å, α = 90.00°, β = 90.00° and γ = 90.00°. Symmetry generates all atoms from Sm at (0.000, 0.000, 0.000), Pu at (0.000, 0.000, 0.500), Pu at (0.000, 0.500, 0.250), U at (0.000, 0.500, 0.750), N at (0.000, 0.000, 0.256) and N at (0.000, 0.500, 0.515).

No. 3
A plane-wave DFT calculation with PBE was carried out for an optimized crystal structure of Sm2PuVN4.

The uncorrected formation energy is -1.1447 eV/atom. As for the total magnetization: 25.19 Bohr magnetons per cell. Its volume is 15.2 A^3/atom. The value obtained for the calculated total energy is -9.42 eV per atom. Its crystal system is orthorhombic.

It has space group Cmcm (No. 63), with a = 3.420 Å, b = 11.792 Å, c = 12.076 Å, α = 90.00°, β = 90.00° and γ = 90.00°. Symmetry generates all atoms from Sm at (0.000, 0.131, 0.041), Pu at (0.000, 0.404, 0.250), V at (0.000, 0.330, 0.750), N at (0.000, 0.082, 0.250), N at (0.000, 0.232, 0.633) and N at (0.000, 0.500, 0.000).

No. 4
A plane-wave DFT calculation with PBE was carried out for an optimized crystal structure of SmPu2VN4.

The uncorrected formation energy is -1.1494 eV/atom. As for the total magnetization: 41.63 Bohr magnetons per cell. Its volume is 14.6 A^3/atom. The value obtained for the calculated total energy is -10.62 eV per atom. Its crystal system is orthorhombic.

It has space group Cmcm (No. 63), with a = 3.376 Å, b = 11.622 Å, c = 11.876 Å, α = 90.00°, β = 90.00° and γ = 90.00°. Symmetry generates all atoms from Sm at (0.000, 0.095, 0.250), Pu at (0.000, 0.368, 0.044), V at (0.000, 0.168, 0.750), N at (0.000, 0.000, 0.000), N at (0.000, 0.266, 0.628) and N at (0.000, 0.432, 0.250).

No. 5
A plane-wave DFT calculation with PBE was carried out for an optimized crystal structure of Sm2PuWN4.

The uncorrected formation energy is -0.9249 eV/atom. As for the total magnetization: 21.50 Bohr magnetons per cell. Its volume is 15.8 A^3/atom. The value obtained for the calculated total energy is -9.68 eV per atom. Its crystal system is orthorhombic.

It has space group Cmcm (No. 63), with a = 3.394 Å, b = 12.038 Å, c = 12.353 Å, α = 90.00°, β = 90.00° and γ = 90.00°. Symmetry generates all atoms from Sm at (0.000, 0.130, 0.038), Pu at (0.000, 0.415, 0.250), W at (0.000, 0.326, 0.750), N at (0.000, 0.064, 0.250), N at (0.000, 0.232, 0.628) and N at (0.000, 0.500, 0.000).

No. 6
A plane-wave DFT calculation with PBE was carried out for an optimized crystal structure of SmY2PuN4.

The uncorrected formation energy is -1.5154 eV/atom. As for the total magnetization: 4.73 Bohr magnetons per cell. Its volume is 15.2 A^3/atom. The value obtained for the calculated total energy is -9.68 eV per atom. Its crystal system is monoclinic.

It has space group P2/m (No. 10), with a = 6.055 Å, b = 3.510 Å, c = 6.059 Å, α = 90.00°, β = 109.38° and γ = 90.00°. Symmetry generates all atoms from Sm at (0.000, 0.000, 0.000), Y at (0.500, 0.000, 0.500), Y at (0.500, 0.500, 0.000), Pu at (0.000, 0.500, 0.500), N at (0.246, 0.000, 0.740) and N at (0.250, 0.500, 0.259).

No. 7
A plane-wave DFT calculation with PBE was carried out for an optimized crystal structure of SmYPu2N4.

The uncorrected formation energy is -1.4239 eV/atom. As for the total magnetization: 9.46 Bohr magnetons per cell. Its volume is 15.2 A^3/atom. The value obtained for the calculated total energy is -10.57 eV per atom. Its crystal system is monoclinic.

It has space group P2/m (No. 10), with a = 6.038 Å, b = 3.510 Å, c = 6.083 Å, α = 90.00°, β = 109.58° and γ = 90.00°. Symmetry generates all atoms from Sm at (0.000, 0.000, 0.000), Y at (0.000, 0.500, 0.500), Pu at (0.500, 0.000, 0.500), Pu at (0.500, 0.500, 0.000), N at (0.263, 0.000, 0.749) and N at (0.266, 0.500, 0.260).

No. 8
A plane-wave DFT calculation with PBE was carried out for an optimized crystal structure of SmPu2ZrN4.

The uncorrected formation energy is -1.4327 eV/atom. As for the total magnetization: 9.55 Bohr magnetons per cell. Its volume is 14.5 A^3/atom. The value obtained for the calculated total energy is -10.84 eV per atom. Its crystal system is monoclinic.

It has space group P2/m (No. 10), with a = 5.932 Å, b = 3.444 Å, c = 6.005 Å, α = 90.00°, β = 109.41° and γ = 90.00°. Symmetry generates all atoms from Sm at (0.000, 0.000, 0.000), Pu at (0.500, 0.000, 0.500), Pu at (0.500, 0.500, 0.000), Zr at (0.000, 0.500, 0.500), N at (0.244, 0.000, 0.731) and N at (0.255, 0.500, 0.272).